[1]
## Ac2La3Os (PBE-GGA)

Data for an optimized crystal structure of Ac2La3Os.

a b c (Å): 10.3196 10.3196 8.0270
angles (deg): 101.25 101.25 33.69
Element x y z (fractional)
1 Ac 0.2128 0.2149 0.1067
2 Ac 0.2149 0.2128 0.6067
3 Ac 0.7851 0.7872 0.3933
4 Ac 0.7872 0.7851 0.8933
5 La 0.0198 0.9802 0.2500
6 La 0.3999 0.4009 0.4500
7 La 0.4009 0.3999 0.9500
8 La 0.5991 0.6001 0.0500
9 La 0.6001 0.5991 0.5500
10 La 0.9802 0.0198 0.7500
11 Os 0.4597 0.5403 0.7500
12 Os 0.5403 0.4597 0.2500

## Properties
The value obtained for the total energy is -5.689 eV per atom. The crystal system is monoclinic. As for the formation energy: 0.02 eV/atom.

***

[2]
## BaErSe2 (PBE-GGA)

Data for an optimized crystal structure of BaErSe2.

a b c (Å): 8.0707 8.0707 8.0707
angles (deg): 30.07 30.07 30.07
Element x y z (fractional)
1 Ba 0.0000 0.0000 0.0000
2 Er 0.1727 0.1727 0.1727
3 Se 0.5727 0.5727 0.5727
4 Se 0.7683 0.7683 0.7683

## Properties
The value obtained for the total energy is -5.167 eV per atom. As for the energy relative to the elements, uncorrected: -695.9 kJ/mol of formula units. The crystal system is trigonal.

***

[3]
## MnZnAs2 (PBE-GGA)

Data for an optimized crystal structure of MnZnAs2.

a b c (Å): 5.0977 5.0977 4.8740
angles (deg): 99.17 99.17 32.36
Element x y z (fractional)
1 Mn 0.0000 0.0000 0.0000
2 Zn 0.2786 0.2786 0.6398
3 As 0.5284 0.5284 0.5134
4 As 0.7401 0.7401 0.1157

## Properties
The value obtained for the total energy is -4.794 eV per atom. The crystal system is monoclinic. As for the formation energy: 0.14 eV/atom.

***

Volume for the records above, in order: 38.68 29.22 16.72 A^3/atom